# 1
VASP calculation (PBE) on a geometry-optimized Nb2P2O9 structure.

a = 5.4606 Å, b = 5.4606 Å, c = 11.8404 Å
α = 90.00°, β = 90.00°, γ = 105.24°
With the nearest neighbours (Å) after each atom.
Fractional positions:
Nb  0.2039  0.7961  0.5595  2 O 1.90-2.05
Nb  0.7961  0.2039  0.4405  2 O 1.90-2.05
Nb  0.2961  0.7039  0.0595  2 O 1.90-2.05
Nb  0.7039  0.2961  0.9405  2 O 1.90-2.05
P  0.1063  0.8937  0.8518  4 O 1.50-1.58
P  0.8937  0.1063  0.1482  4 O 1.50-1.58
P  0.3937  0.6063  0.3518  4 O 1.50-1.58
P  0.6063  0.3937  0.6482  4 O 1.50-1.58
O  0.6285  0.0205  0.0859  1 P 1.58
O  0.0205  0.6285  0.9141  1 P 1.58
O  0.1285  0.5205  0.4141  1 P 1.58
O  0.5205  0.1285  0.5859  1 P 1.58
O  0.5000  0.5000  0.0000  2 Nb 1.90
O  0.8633  0.1367  0.2744  1 P 1.52
O  0.6367  0.3633  0.7744  1 P 1.52
O  0.0000  0.0000  0.5000  2 Nb 1.90
O  0.5637  0.4363  0.3770  1 P 1.50
O  0.9363  0.0637  0.8770  1 P 1.50
O  0.0637  0.9363  0.1230  1 P 1.50
O  0.1367  0.8633  0.7256  1 P 1.52
O  0.3633  0.6367  0.2256  1 P 1.52
O  0.4363  0.5637  0.6230  1 P 1.50
O  0.4795  0.8715  0.4141  1 P 1.58
O  0.3715  0.9795  0.9141  1 P 1.58
O  0.8715  0.4795  0.5859  1 P 1.58
O  0.9795  0.3715  0.0859  1 P 1.58

Calculated total energy ... -8.11 eV/atom
DOS at the Fermi energy ... 0.0820 states/eV per atom
Symmetry ... Cmce, No. 64

=====

# 2
VASP calculation (PBE) on a geometry-optimized Mo3Os2 structure.

a = 8.1623 Å, b = 7.1130 Å, c = 5.3093 Å
α = 80.73°, β = 59.33°, γ = 39.94°
With the nearest neighbours (Å) after each atom.
Fractional positions:
Mo  0.3662  0.4274  0.7474  5 Os 2.62-2.90, 4 Mo 2.72-2.91
Mo  0.4590  0.7474  0.4274  5 Os 2.62-2.90, 4 Mo 2.72-2.91
Mo  0.8226  0.8838  0.7910  5 Os 2.62-2.90, 4 Mo 2.72-2.91
Mo  0.5026  0.7910  0.8838  5 Os 2.62-2.90, 4 Mo 2.72-2.91
Mo  0.9286  0.0714  0.0714  6 Os 2.65-2.88, 6 Mo 2.81-2.94
Mo  0.1786  0.3214  0.3214  6 Os 2.65-2.88, 6 Mo 2.81-2.94
Os  0.3519  0.5473  0.2066  8 Mo 2.62-2.90, 2 Os 2.86
Os  0.8943  0.2066  0.5473  8 Mo 2.62-2.90, 2 Os 2.86
Os  0.7027  0.8981  0.3557  8 Mo 2.62-2.90, 2 Os 2.86
Os  0.0434  0.3557  0.8981  8 Mo 2.62-2.90, 2 Os 2.86

Calculated formation energy ... 0.169 eV/atom
Calculated total energy ... -10.82 eV/atom
DOS at the Fermi energy ... 0.8216 states/eV per atom
Symmetry ... Fdd2, No. 43
Energy above the lowest structure with this stoichiometry ... 163.0 meV/atom

=====

# 3
VASP calculation (PBE) on a geometry-optimized TiNbTe2N structure.

a = 5.4620 Å, b = 5.4620 Å, c = 3.7020 Å
α = 90.00°, β = 90.00°, γ = 90.00°
With the nearest neighbours (Å) after each atom.
Fractional positions:
N  0.0000  0.0000  0.5000  2 Ti 1.85
Nb  0.5000  0.5000  0.5000  8 Te 3.30
Te  0.0000  0.5000  0.0000  2 Ti 2.73
Te  0.5000  0.0000  0.0000  2 Ti 2.73
Ti  0.0000  0.0000  0.0000  2 N 1.85

Calculated total energy ... -6.27 eV/atom
DOS at the Fermi energy ... 1.0953 states/eV per atom
Symmetry ... P4/mmm, No. 123
Energy above the lowest structure with this stoichiometry ... 49.9 meV/atom

=====

# 4
VASP calculation (PBE) on a geometry-optimized TiAlAg structure.

a = 7.2248 Å, b = 4.6148 Å, c = 3.1851 Å
α = 90.00°, β = 90.00°, γ = 108.79°
With the nearest neighbours (Å) after each atom.
Fractional positions:
Al  0.0257  0.9031  0.7594  2 Al 2.67, 2 Ag 2.69, 4 Ti 2.80
Al  0.7118  0.7460  0.2594  2 Al 2.67, 2 Ag 2.69, 4 Ti 2.80
Ag  0.3427  0.0610  0.2594  2 Al 2.69, 4 Ag 2.83, 2 Ti 2.96
Ag  0.3948  0.5874  0.7594  2 Al 2.69, 4 Ag 2.83, 2 Ti 2.96
Ti  0.0303  0.4052  0.2593  2 Ti 2.72, 4 Al 2.80, 2 Ag 2.96
Ti  0.7072  0.2438  0.7593  2 Ti 2.72, 4 Al 2.80, 2 Ag 2.96

Calculated formation energy ... -0.169 eV/atom
Calculated total energy ... -5.00 eV/atom
DOS at the Fermi energy ... 0.5496 states/eV per atom
Symmetry ... P2_1/m, No. 11

=====

# 5
VASP calculation (PBE) on a geometry-optimized NaLaTc structure.

a = 3.3501 Å, b = 4.0299 Å, c = 13.3808 Å
α = 90.00°, β = 95.37°, γ = 90.00°
With the nearest neighbours (Å) after each atom.
Fractional positions:
Na  0.2922  0.2500  0.1009  4 Na 3.35-3.74
Na  0.7078  0.7500  0.8991  4 Na 3.35-3.74
La  0.1129  0.2500  0.6706  3 Tc 2.87-3.05
La  0.8871  0.7500  0.3294  3 Tc 2.87-3.05
Tc  0.3373  0.2500  0.4689  2 Tc 2.40
Tc  0.6627  0.7500  0.5311  2 Tc 2.40

Calculated formation energy ... 0.145 eV/atom
Calculated total energy ... -5.39 eV/atom
DOS at the Fermi energy ... 0.9042 states/eV per atom
Symmetry ... P2_1/m, No. 11
Energy above the lowest structure with this stoichiometry ... 120.6 meV/atom

=====

# 6
VASP calculation (PBE) on a geometry-optimized YCr2Rh structure.

a = 9.3944 Å, b = 9.3944 Å, c = 9.3944 Å
α = 17.26°, β = 17.26°, γ = 17.26°
With the nearest neighbours (Å) after each atom.
Fractional positions:
Cr  0.0099  0.0099  0.0099  3 Rh 2.61, 6 Cr 2.82
Cr  0.4901  0.4901  0.4901  3 Rh 2.61, 6 Cr 2.82
Rh  0.7500  0.7500  0.7500  6 Cr 2.61, 6 Rh 2.82
Y  0.2500  0.2500  0.2500  6 Y 2.82, 6 Cr 3.06

Calculated formation energy ... 0.716 eV/atom
Calculated total energy ... -7.55 eV/atom
DOS at the Fermi energy ... 1.2406 states/eV per atom
Symmetry ... R-3m, No. 166
Energy above the lowest structure with this stoichiometry ... 650.3 meV/atom